Material: PuNiPdAu
Method: DFT, PBE
State: optimized geometry

a = 4.666 Å, b = 4.666 Å, c = 4.666 Å
α = 60.00°, β = 60.00°, γ = 60.00°
Fractional positions:
Ni  0.750  0.750  0.750
Au  0.000  0.000  0.000
Pd  0.250  0.250  0.250
Pu  0.500  0.500  0.500

Calculated values
The formation energy is -0.239 eV/atom. Its symmetry is F-43m (216). The total DFT energy (no corrections) is -7.384 eV/atom. The calculation puts the magnetization at 4.97 μB/f.u.